(1)
# Ac2LaAl3Au12

A relaxed Ac2LaAl3Au12 crystal (GGA-PBE, Alexandria).

Geometry as POSCAR:
```
Ac2LaAl3Au12
1.0
-8.433 -6.584 2.247
-2.786 -8.851 5.779
-6.451 -3.342 8.168
Ac La Al Au
2 1 3 12
direct
0.637 0.637 0.637
0.363 0.363 0.363
0.000 0.000 0.000
0.500 0.000 0.000
0.000 0.500 0.000
0.000 0.000 0.500
0.404 0.404 0.816
0.870 0.870 0.443
0.443 0.870 0.870
0.816 0.404 0.404
0.870 0.443 0.870
0.404 0.816 0.404
0.596 0.596 0.184
0.130 0.130 0.557
0.557 0.130 0.130
0.184 0.596 0.596
0.130 0.557 0.130
0.596 0.184 0.596
```



(2)
# AcLaAlAu

A relaxed AcLaAlAu crystal (GGA-PBE, Alexandria).

Geometry as POSCAR:
```
AcLaAlAu
1.0
5.497 0.000 0.000
2.749 4.761 0.000
2.749 1.587 4.488
Ac Au Al La
1 1 1 1
direct
0.750 0.750 0.750
0.000 0.000 0.000
0.500 0.500 0.500
0.250 0.250 0.250
```



(3)
# LiAc2Al3Au4

A relaxed LiAc2Al3Au4 crystal (GGA-PBE, Alexandria).

Geometry as POSCAR:
```
LiAc2Al3Au4
1.0
4.603 0.000 0.000
0.000 4.603 0.000
0.000 0.000 10.442
Li Ac Al Au
1 2 3 4
direct
0.500 0.500 0.500
0.500 0.000 0.250
0.000 0.500 0.750
0.000 0.000 0.500
0.500 0.000 0.873
0.000 0.500 0.127
0.500 0.500 0.000
0.000 0.000 0.000
0.500 0.000 0.626
0.000 0.500 0.374
```



(4)
# Li2AcAlAu4

A relaxed Li2AcAlAu4 crystal (GGA-PBE, Alexandria).

Geometry as POSCAR:
```
Li2AcAlAu4
1.0
4.498 0.000 0.000
2.249 3.895 0.000
2.249 1.298 9.144
Li Ac Al Au
2 1 1 4
direct
0.767 0.767 0.698
0.233 0.233 0.302
0.000 0.000 0.000
0.500 0.500 0.500
0.404 0.404 0.789
0.867 0.867 0.398
0.133 0.133 0.602
0.596 0.596 0.211
```



(5)
# Li2AcAl2Au2

A relaxed Li2AcAl2Au2 crystal (GGA-PBE, Alexandria).

Geometry as POSCAR:
```
Li2AcAl2Au2
1.0
-0.880 4.234 -1.260
-2.535 -1.988 3.144
7.018 2.687 4.124
Li Ac Al Au
2 1 2 2
direct
0.143 0.285 0.429
0.857 0.715 0.571
0.000 0.000 0.000
0.560 0.121 0.680
0.440 0.879 0.320
0.751 0.501 0.254
0.249 0.499 0.746
```



(6)
# LiAcAlAu3

A relaxed LiAcAlAu3 crystal (GGA-PBE, Alexandria).

Geometry as POSCAR:
```
LiAcAlAu3
1.0
6.824 0.000 0.000
0.000 6.342 0.000
0.000 -3.171 5.999
Li Ac Al Au
2 2 2 6
direct
0.250 0.957 0.914
0.750 0.043 0.086
0.750 0.296 0.591
0.250 0.704 0.409
0.250 0.385 0.771
0.750 0.615 0.229
0.250 0.174 0.349
0.000 0.267 0.000
0.500 0.733 0.000
0.500 0.267 0.000
0.000 0.733 0.000
0.750 0.826 0.651
```



(7)
# LiAcAl2Au4

A relaxed LiAcAl2Au4 crystal (GGA-PBE, Alexandria).

Geometry as POSCAR:
```
LiAcAl2Au4
1.0
-0.709 3.723 -2.408
0.246 -0.143 -4.481
-9.075 -0.781 -2.724
Li Ac Al Au
1 1 2 4
direct
0.500 0.500 0.500
0.000 0.000 0.000
0.767 0.767 0.700
0.233 0.233 0.300
0.405 0.405 0.786
0.866 0.866 0.402
0.134 0.134 0.598
0.595 0.595 0.214
```



(8)
# LiAcAlAu2

A relaxed LiAcAlAu2 crystal (GGA-PBE, Alexandria).

Geometry as POSCAR:
```
LiAcAlAu2
1.0
-2.375 -1.749 -3.176
3.529 -1.989 -1.542
-1.720 -2.827 5.800
Li Ac Al Au
1 1 1 2
direct
0.250 0.750 0.500
0.000 0.000 0.000
0.750 0.250 0.500
0.624 0.624 0.248
0.376 0.376 0.752
```



(9)
# AcLuAlAu

A relaxed AcLuAlAu crystal (GGA-PBE, Alexandria).

Geometry as POSCAR:
```
AcLuAlAu
1.0
5.340 0.000 0.000
2.670 4.624 0.000
2.670 1.541 4.360
Ac Lu Au Al
1 1 1 1
direct
0.750 0.750 0.750
0.250 0.250 0.250
0.500 0.500 0.500
0.000 0.000 0.000
```



(10)
# Ac3MgAl2Au6

A relaxed Ac3MgAl2Au6 crystal (GGA-PBE, Alexandria).

Geometry as POSCAR:
```
Ac3MgAl2Au6
1.0
-3.815 -2.215 -4.830
4.278 -4.016 2.892
-5.906 -2.205 5.675
Ac Mg Al Au
3 1 2 6
direct
0.333 0.667 0.643
0.667 0.333 0.357
0.000 0.000 0.000
0.000 0.000 0.500
0.667 0.333 0.953
0.333 0.667 0.047
0.635 0.818 0.287
0.182 0.365 0.287
0.182 0.818 0.287
0.818 0.635 0.713
0.365 0.182 0.713
0.818 0.182 0.713
```



(11)
# AcMg2AlAu2

A relaxed AcMg2AlAu2 crystal (GGA-PBE, Alexandria).

Geometry as POSCAR:
```
AcMg2AlAu2
1.0
-4.990 -1.276 0.864
0.413 -3.929 -3.416
3.925 -0.921 5.526
Ac Mg Al Au
1 2 1 2
direct
0.500 0.500 0.000
0.250 0.750 0.500
0.750 0.250 0.500
0.000 0.000 0.000
0.788 0.788 0.576
0.212 0.212 0.424
```



(12)
# AcMgAl2Au4

A relaxed AcMgAl2Au4 crystal (GGA-PBE, Alexandria).

Geometry as POSCAR:
```
AcMgAl2Au4
1.0
-1.797 3.288 -2.519
-0.081 -0.389 -4.497
-9.037 -3.238 -1.824
Ac Mg Al Au
1 1 2 4
direct
0.000 0.000 0.000
0.500 0.500 0.500
0.764 0.764 0.708
0.236 0.236 0.292
0.402 0.402 0.795
0.866 0.866 0.402
0.134 0.134 0.598
0.598 0.598 0.205
```



(13)
# Ac2MgAl4Au3

A relaxed Ac2MgAl4Au3 crystal (GGA-PBE, Alexandria).

Geometry as POSCAR:
```
Ac2MgAl4Au3
1.0
4.519 0.000 0.000
0.000 4.519 0.000
0.000 0.000 11.074
Ac Mg Al Au
2 1 4 3
direct
0.500 0.000 0.246
0.000 0.500 0.754
0.500 0.500 0.500
0.500 0.500 0.000
0.000 0.000 0.000
0.500 0.000 0.642
0.000 0.500 0.358
0.000 0.000 0.500
0.500 0.000 0.877
0.000 0.500 0.123
```



(14)
# AcMgAl2Au2

A relaxed AcMgAl2Au2 crystal (GGA-PBE, Alexandria).

Geometry as POSCAR:
```
AcMgAl2Au2
1.0
-0.177 2.743 -3.572
1.906 -4.067 -0.374
-6.716 -2.968 -1.946
Ac Mg Al Au
1 1 2 2
direct
0.000 0.000 0.000
0.000 0.000 0.500
0.667 0.333 0.691
0.333 0.667 0.309
0.667 0.333 0.308
0.333 0.667 0.692
```



(15)
# Ac2MgAl3Au12

A relaxed Ac2MgAl3Au12 crystal (GGA-PBE, Alexandria).

Geometry as POSCAR:
```
Ac2MgAl3Au12
1.0
8.217 -0.333 -0.236
3.769 7.310 -0.236
3.769 2.194 6.977
Ac Mg Al Au
2 1 3 12
direct
0.611 0.611 0.611
0.389 0.389 0.389
0.000 0.000 0.000
0.500 0.000 0.000
0.000 0.500 0.000
0.000 0.000 0.500
0.349 0.349 0.881
0.869 0.869 0.372
0.372 0.869 0.869
0.881 0.349 0.349
0.869 0.372 0.869
0.349 0.881 0.349
0.651 0.651 0.119
0.131 0.131 0.628
0.628 0.131 0.131
0.119 0.651 0.651
0.131 0.628 0.131
0.651 0.119 0.651
```



(16)
# AcMgAl2Au5

A relaxed AcMgAl2Au5 crystal (GGA-PBE, Alexandria).

Geometry as POSCAR:
```
AcMgAl2Au5
1.0
5.027 0.000 0.000
0.000 5.027 0.000
0.000 0.000 7.772
Ac Mg Al Au
1 1 2 5
direct
0.000 0.000 0.500
0.000 0.000 0.000
0.500 0.500 0.168
0.500 0.500 0.832
0.000 0.500 0.217
0.500 0.000 0.217
0.000 0.500 0.783
0.500 0.000 0.783
0.500 0.500 0.500
```



(17)
# AcMg2AlAu4

A relaxed AcMg2AlAu4 crystal (GGA-PBE, Alexandria).

Geometry as POSCAR:
```
AcMg2AlAu4
1.0
4.567 0.000 0.000
2.283 3.955 0.000
2.283 1.318 9.473
Ac Mg Al Au
1 2 1 4
direct
0.000 0.000 0.000
0.765 0.765 0.706
0.235 0.235 0.294
0.500 0.500 0.500
0.402 0.402 0.794
0.864 0.864 0.407
0.136 0.136 0.593
0.598 0.598 0.206
```



(18)
# AcMgAl2Au

A relaxed AcMgAl2Au crystal (GGA-PBE, Alexandria).

Geometry as POSCAR:
```
AcMgAl2Au
1.0
-0.826 2.573 3.600
-4.388 -1.306 -0.073
3.851 -5.004 1.645
Ac Mg Al Au
1 1 2 1
direct
0.448 0.448 0.896
0.194 0.694 0.389
0.695 0.195 0.391
0.051 0.051 0.102
0.824 0.824 0.647
```



(19)
# AcMgAlAu2

A relaxed AcMgAlAu2 crystal (GGA-PBE, Alexandria).

Geometry as POSCAR:
```
AcMgAlAu2
1.0
4.366 0.000 0.000
0.000 4.366 0.000
-2.183 -2.183 6.128
Ac Mg Al Au
1 1 1 2
direct
0.000 0.000 0.000
0.250 0.750 0.500
0.750 0.250 0.500
0.619 0.619 0.239
0.381 0.381 0.761
```



(20)
# AcMg2Al2Au2

A relaxed AcMg2Al2Au2 crystal (GGA-PBE, Alexandria).

Geometry as POSCAR:
```
AcMg2Al2Au2
1.0
4.511 0.000 0.000
2.255 3.906 0.000
2.255 1.302 8.983
Ac Mg Al Au
1 2 2 2
direct
0.000 0.000 0.000
0.137 0.137 0.590
0.863 0.863 0.410
0.750 0.750 0.750
0.250 0.250 0.250
0.575 0.575 0.274
0.425 0.425 0.726
```



Magnetization (μB per atom)
0.00, 0.00, 0.00, 0.00, 0.00, 0.00, 0.00, 0.00, 0.00, 0.00, 0.00, 0.00, 0.00, 0.00, 0.00, 0.00, 0.00, 0.00, 0.00, 0.00
Energy relative to the elements (meV per atom)
-378, -467, -702, -629, -582, -522, -633, -682, -440, -536, -371, -611, -625, -637, -262, -457, -623, -535, -691, -515